# 1
DFT (PBE-GGA) results for crystalline Pm6Y3Tm2 at its relaxed geometry.

## Properties
The value obtained for the mass density is 6.8 g cm⁻³. The calculation puts the total magnetization at 0.0 μB/f.u. The value obtained for the total energy is -5.152 eV per atom. The value obtained for the formation energy is 0.015 eV/atom.

a b c (Å): 32.2042 32.2042 32.2042
angles (deg): 6.41 6.41 6.41
Sites, in units of the cell vectors:
Pm 0.0913 0.0913 0.0913
Pm 0.1823 0.1823 0.1823
Pm 0.3638 0.3638 0.3638
Pm 0.6362 0.6362 0.6362
Pm 0.8177 0.8177 0.8177
Pm 0.9087 0.9087 0.9087
Y 0.0000 0.0000 0.0000
Y 0.2725 0.2725 0.2725
Y 0.7275 0.7275 0.7275
Tm 0.4544 0.4544 0.4544
Tm 0.5456 0.5456 0.5456

# 2
DFT (PBE-GGA) results for crystalline Pm12Y5Tm2 at its relaxed geometry.

## Properties
The value obtained for the mass density is 6.4 g cm⁻³. The calculation puts the total magnetization at 0.0 μB/f.u. The value obtained for the total energy is -5.034 eV per atom. The value obtained for the formation energy is 0.138 eV/atom.

a b c (Å): 11.7160 11.7160 8.7481
angles (deg): 109.37 109.37 35.30
Sites, in units of the cell vectors:
Pm 0.0464 0.5529 0.7059
Pm 0.0480 0.0480 0.1944
Pm 0.1376 0.6513 0.1152
Pm 0.3487 0.8624 0.8848
Pm 0.3574 0.3574 0.4392
Pm 0.4471 0.9536 0.2941
Pm 0.5529 0.0464 0.7059
Pm 0.6426 0.6426 0.5608
Pm 0.6513 0.1376 0.1152
Pm 0.8624 0.3487 0.8848
Pm 0.9520 0.9520 0.8056
Pm 0.9536 0.4471 0.2941
Y 0.1497 0.1497 0.5970
Y 0.2511 0.2511 0.0096
Y 0.5000 0.5000 0.0000
Y 0.7489 0.7489 0.9904
Y 0.8503 0.8503 0.4030
Tm 0.2425 0.7575 0.5000
Tm 0.7575 0.2425 0.5000

# 3
DFT (PBE-GGA) results for crystalline PmYTmZn at its relaxed geometry.

## Properties
The value obtained for the mass density is 7.0 g cm⁻³. The calculation puts the total magnetization at 0.0 μB/f.u. The value obtained for the total energy is -4.409 eV per atom. The value obtained for the formation energy is -0.169 eV/atom.

a b c (Å): 3.5646 3.5646 8.7207
angles (deg): 90.00 90.00 90.00
Sites, in units of the cell vectors:
Pm 0.0000 0.0000 0.0000
Y 0.5000 0.5000 0.6976
Tm 0.5000 0.5000 0.2938
Zn 0.0000 0.0000 0.4894

Q: Look up the formation energy of the third one.
A: -0.169 eV/atom